## NaPtI2N (GGA-PBE)

Data for crystalline NaPtI2N at its relaxed geometry.

Properties
Excess energy over the best structure of this formula in the dataset   0 meV per atom
Density   6.2 g cm⁻³
Uncorrected formation energy   -26 meV per atom
Space group   P4/mmm

Cell lengths 5.8756, 5.8756, 3.7704 Å; angles 90.00, 90.00, 90.00 degrees
Element x y z (fractional)
Na (0.0000, 0.0000, 0.0000)
Pt (0.5000, 0.5000, 0.5000)
I (0.0000, 0.5000, 0.5000)
I (0.5000, 0.0000, 0.5000)
N (0.5000, 0.5000, 0.0000)